VASP calculation (PBE) on an optimized crystal structure of TlSbTe2Os.

Results
Its energy relative to the elements, uncorrected is 1.948 eV/atom. The space group is P4/mmm.

Lattice parameters (Å, degrees): 5.667 5.667 5.669 90.00 90.00 90.00
Element x y z (fractional)
Tl1 0.000 0.000 0.000
Sb1 0.000 0.000 0.500
Te1 0.000 0.500 0.000
Te2 0.500 0.000 0.000
Os1 0.500 0.500 0.500


VASP calculation (PBE) on an optimized crystal structure of SnBP2S.

Results
Its energy relative to the elements, uncorrected is 0.648 eV/atom. The space group is P4/mmm.

Lattice parameters (Å, degrees): 4.232 4.232 4.466 90.00 90.00 90.00
Element x y z (fractional)
Sn1 0.000 0.000 0.000
B1 0.500 0.500 0.500
P1 0.000 0.500 0.500
P2 0.500 0.000 0.500
S1 0.500 0.500 0.000


VASP calculation (PBE) on an optimized crystal structure of SrAlSe2.

Results
Its energy relative to the elements, uncorrected is -1.021 eV/atom. The space group is P2/m.

Lattice parameters (Å, degrees): 3.986 3.684 7.098 90.00 90.07 90.00
Element x y z (fractional)
Sr1 0.000 0.000 0.000
Al1 0.500 0.000 0.500
Se1 0.500 0.500 0.248
Se2 0.500 0.500 0.752


VASP calculation (PBE) on an optimized crystal structure of Hf2PS.

Results
Its energy relative to the elements, uncorrected is -0.711 eV/atom. The space group is I-42d.

Lattice parameters (Å, degrees): 7.019 7.019 7.019 131.81 131.81 70.53
Element x y z (fractional)
Hf1 0.124 0.625 0.999
Hf2 0.375 0.374 0.499
Hf3 0.626 0.125 0.001
Hf4 0.875 0.876 0.501
P1 0.250 0.750 0.500
P2 0.500 0.500 0.000
S1 0.000 0.000 0.000
S2 0.750 0.250 0.500


VASP calculation (PBE) on an optimized crystal structure of CsKInBrCl.

Results
Its energy relative to the elements, uncorrected is -1.118 eV/atom. The space group is Amm2.

Lattice parameters (Å, degrees): 4.219 9.519 9.519 33.40 90.00 90.00
Element x y z (fractional)
Cs1 0.000 0.000 0.000
K1 0.000 0.715 0.715
In1 0.500 0.394 0.394
Br1 0.500 0.159 0.159
Cl1 0.500 0.839 0.839


VASP calculation (PBE) on an optimized crystal structure of SbMoRh2.

Results
Its energy relative to the elements, uncorrected is 0.041 eV/atom. The space group is P4mm.

Lattice parameters (Å, degrees): 3.028 3.028 7.166 90.00 90.00 90.00
Element x y z (fractional)
Sb1 0.000 0.000 0.000
Mo1 0.500 0.500 0.280
Rh1 0.000 0.000 0.498
Rh2 0.500 0.500 0.777


VASP calculation (PBE) on an optimized crystal structure of La2PmIn3.

Results
The uncorrected energy comes out at -4.31 eV per atom. The space group is P4/mmm.

Lattice parameters (Å, degrees): 3.901 3.901 11.869 90.00 90.00 90.00
Element x y z (fractional)
La1 0.000 0.000 0.170
La2 0.000 0.000 0.830
Pm1 0.000 0.000 0.500
In1 0.500 0.500 0.000
In2 0.500 0.500 0.343
In3 0.500 0.500 0.657


VASP calculation (PBE) on an optimized crystal structure of Rb2IrOs.

Results
The uncorrected energy comes out at -3.19 eV per atom. The space group is Fm-3m.

Lattice parameters (Å, degrees): 5.630 5.630 5.630 60.00 60.00 60.00
Element x y z (fractional)
Rb1 0.250 0.250 0.250
Rb2 0.750 0.750 0.750
Ir1 0.000 0.000 0.000
Os1 0.500 0.500 0.500


VASP calculation (PBE) on an optimized crystal structure of KTlGeF6.

Results
Its energy relative to the elements, uncorrected is -2.493 eV/atom. The space group is C2.

Lattice parameters (Å, degrees): 6.228 6.228 5.279 90.03 90.03 120.15
Element x y z (fractional)
K1 0.000 0.000 0.000
Tl1 0.333 0.667 0.500
Ge1 0.667 0.333 0.000
F1 0.424 0.088 0.802
F2 0.425 0.335 0.199
F3 0.665 0.575 0.801
F4 0.666 0.090 0.199
F5 0.910 0.334 0.801
F6 0.912 0.576 0.198


VASP calculation (PBE) on an optimized crystal structure of NpAgGe2O8.

Results
Its energy relative to the elements, uncorrected is -1.519 eV/atom. The space group is P-3m1.

Lattice parameters (Å, degrees): 5.627 5.627 6.804 90.00 90.00 120.00
Element x y z (fractional)
Np1 0.000 0.000 0.000
Ag1 0.000 0.000 0.500
Ge1 0.333 0.667 0.704
Ge2 0.667 0.333 0.296
O1 0.167 0.333 0.819
O2 0.167 0.833 0.819
O3 0.333 0.167 0.181
O4 0.333 0.667 0.455
O5 0.667 0.333 0.545
O6 0.667 0.833 0.819
O7 0.833 0.167 0.181
O8 0.833 0.667 0.181


VASP calculation (PBE) on an optimized crystal structure of HfTiHg2Te.

Results
Its energy relative to the elements, uncorrected is 0.831 eV/atom. The space group is P4/mmm.

Lattice parameters (Å, degrees): 5.490 5.490 4.915 90.00 90.00 90.00
Element x y z (fractional)
Hf1 0.000 0.000 0.000
Ti1 0.000 0.000 0.500
Hg1 0.000 0.500 0.000
Hg2 0.500 0.000 0.000
Te1 0.500 0.500 0.500


VASP calculation (PBE) on an optimized crystal structure of LiZr2Al.

Results
The uncorrected energy comes out at -5.82 eV per atom. The space group is P4/mmm.

Lattice parameters (Å, degrees): 4.509 4.509 3.789 90.00 90.00 90.00
Element x y z (fractional)
Li1 0.000 0.000 0.000
Zr1 0.000 0.500 0.500
Zr2 0.500 0.000 0.500
Al1 0.500 0.500 0.000


Computed ρ (Mg/m³) in order:
7.04, 4.64, 4.34, 7.41, 3.17, 10.71, 7.05, 7.28, 4.03, 5.50, 8.47, 4.66